Entry 1:
A plane-wave DFT calculation with PBE was carried out for a geometry-optimized Tb3Tl2Ag structure.

Cell lengths 5.3149, 5.3149, 13.0734 Å; angles 90.00, 90.00, 120.00 degrees
With the nearest neighbours (Å) after each atom.
Space group P-3m1 (No. 164)
Asymmetric unit:
1 Tb 0.0000 0.0000 0.2454 [2 per cell]  5 Tl 3.21-3.33, 3 Ag 3.23
2 Tb 0.3333 0.6667 0.4118 [2 per cell]  1 Ag 3.19, 7 Tl 3.26-3.41
3 Tb 0.3333 0.6667 0.9175 [2 per cell]  4 Tl 3.21-3.25, 4 Ag 3.27
4 Tl 0.0000 0.0000 0.0000 [1 per cell]  8 Tb 3.21-3.25
5 Tl 0.0000 0.0000 0.5000 [1 per cell]  8 Tb 3.28-3.33
6 Tl 0.3333 0.6667 0.6723 [2 per cell]  8 Tb 3.21-3.41
7 Ag 0.3333 0.6667 0.1679 [2 per cell]  8 Tb 3.19-3.27

Properties
calculated total energy = -46.95 eV/cell
density = 10.32 g/cm³
density of states at the Fermi level = 1.05 states/eV per atom



Entry 2:
A plane-wave DFT calculation with PBE was carried out for a geometry-optimized BaAcAl4 structure.

Cell lengths 4.5399, 7.9183, 9.8276 Å; angles 90.00, 90.00, 90.00 degrees
With the nearest neighbours (Å) after each atom.
Space group Immm (No. 71)
Asymmetric unit:
1 Ba 0.0000 0.0000 0.0000 [2 per cell]  12 Al 3.55-3.65
2 Ac 0.0000 0.0000 0.5000 [2 per cell]  12 Al 3.55-3.66
3 Al 0.0000 0.3328 0.2422 [8 per cell]  3 Al 2.63-2.65

Properties
calculated total energy = -45.30 eV/cell
density = 4.44 g/cm³
density of states at the Fermi level = 0.93 states/eV per atom



Calculated ΔE_f, -333 -275 meV/atom (same order as the records).